Arrangement a

First-principles (GGA-PBE) data for a relaxed Y3Ag5 crystal, as listed in Alexandria via LeMat-Bulk.

The total magnetization comes out at 0.13 μB/f.u.

The space group is Cm (No. 8) and the conventional cell measures 5.7329, 16.0031 and 8.5123 Å, with angles of 90.00, 109.66 and 90.00 degrees. The distinct sites, in fractional coordinates, are Y at (0.0000, 0.0000, 0.0000), Y at (0.1518, 0.5000, 0.3048), Y at (0.3254, 0.2502, 0.1508), Y at (0.3264, 0.1740, 0.6523), Ag at (0.0759, 0.0000, 0.6519), Ag at (0.0763, 0.5000, 0.6526), Ag at (0.1647, 0.0902, 0.3293), Ag at (0.2358, 0.3381, 0.4710), Ag at (0.4157, 0.3389, 0.8311) and Ag at (0.4868, 0.0900, 0.9749).


Arrangement b

First-principles (GGA-PBE) data for a relaxed Y3Ag5 crystal, as listed in Alexandria via LeMat-Bulk.

The total magnetization comes out at 0.00 μB/f.u.

The space group is Cmmm (No. 65) and the conventional cell measures 7.3126, 10.0054 and 5.0038 Å, with angles of 90.00, 90.00 and 90.00 degrees. The distinct sites, in fractional coordinates, are Y at (0.0000, 0.0000, 0.0000), Y at (0.0000, 0.2799, 0.5000), Ag at (0.0000, 0.5000, 0.0000), Ag at (0.2161, 0.0000, 0.5000) and Ag at (0.2500, 0.2500, 0.0000).


Arrangement c

First-principles (GGA-PBE) data for a relaxed Y3Ag5 crystal, as listed in Alexandria via LeMat-Bulk.

The total magnetization comes out at 0.00 μB/f.u.

The space group is P-62m (No. 189) and the conventional cell measures 7.4799, 7.4799 and 3.8572 Å, with angles of 90.00, 90.00 and 120.00 degrees. The distinct sites, in fractional coordinates, are Y at (0.0000, 0.6153, 0.0000), Ag at (0.0000, 0.2336, 0.5000) and Ag at (0.3333, 0.6667, 0.5000).


Which is the most stable structure? arrangement c is the most stable.


Arrangement a

First-principles (GGA-PBE) data for a relaxed Y4Ag5 crystal, as listed in Alexandria via LeMat-Bulk.

The total magnetization comes out at 0.00 μB/f.u.

The space group is P6_3/mcm (No. 193) and the conventional cell measures 8.9045, 8.9045 and 6.3093 Å, with angles of 90.00, 90.00 and 120.00 degrees. The distinct sites, in fractional coordinates, are Y at (0.0000, 0.0000, 0.0000), Y at (0.0000, 0.3644, 0.2500), Ag at (0.0000, 0.3048, 0.7500) and Ag at (0.3333, 0.6667, 0.0000).


Arrangement b

First-principles (GGA-PBE) data for a relaxed Y4Ag5 crystal, as listed in Alexandria via LeMat-Bulk.

The total magnetization comes out at 0.00 μB/f.u.

The space group is I4/mmm (No. 139) and the conventional cell measures 9.3968, 9.3968 and 4.8971 Å, with angles of 90.00, 90.00 and 90.00 degrees. The distinct sites, in fractional coordinates, are Y at (0.0000, 0.3117, 0.0000), Ag at (0.0000, 0.0000, 0.0000) and Ag at (0.1597, 0.1597, 0.5000).


Which is the most stable structure? arrangement a is the most stable.


Arrangement a

First-principles (GGA-PBE) data for a relaxed Y4Ag crystal, as listed in Alexandria via LeMat-Bulk.

The total magnetization comes out at 0.00 μB/f.u.

The space group is C2/m (No. 12) and the conventional cell measures 12.5994, 3.6848 and 8.9035 Å, with angles of 90.00, 134.88 and 90.00 degrees. The distinct sites, in fractional coordinates, are Y at (0.0791, 0.0000, 0.3519), Y at (0.2278, 0.5000, 0.8071) and Ag at (0.0000, 0.5000, 0.0000).


Arrangement b

First-principles (GGA-PBE) data for a relaxed Y4Ag crystal, as listed in Alexandria via LeMat-Bulk.

The total magnetization comes out at 1.55 μB/f.u.

The space group is Im-3m (No. 229) and the conventional cell measures 6.9496, 6.9496 and 6.9496 Å, with angles of 90.00, 90.00 and 90.00 degrees. The distinct sites, in fractional coordinates, are Y at (0.2500, 0.2500, 0.2500) and Ag at (0.0000, 0.0000, 0.0000).


Arrangement c

First-principles (GGA-PBE) data for a relaxed Y4Ag crystal, as listed in Alexandria via LeMat-Bulk.

The total magnetization comes out at 0.00 μB/f.u.

The space group is R-3m (No. 166, hexagonal axes) and the conventional cell measures 3.5726, 3.5726 and 40.3105 Å, with angles of 90.00, 90.00 and 120.00 degrees. The distinct sites, in fractional coordinates, are Y at (0.0000, 0.0000, 0.1083), Y at (0.0000, 0.0000, 0.2970) and Ag at (0.0000, 0.0000, 0.5000).


Arrangement d

First-principles (GGA-PBE) data for a relaxed Y4Ag crystal, as listed in Alexandria via LeMat-Bulk.

The total magnetization comes out at 0.79 μB/f.u.

The space group is I4/m (No. 87) and the conventional cell measures 7.4548, 7.4548 and 5.2762 Å, with angles of 90.00, 90.00 and 90.00 degrees. The distinct sites, in fractional coordinates, are Y at (0.1259, 0.6827, 0.0000) and Ag at (0.0000, 0.0000, 0.5000).


Which is the most stable structure? arrangement a is the most stable.


Arrangement a

First-principles (GGA-PBE) data for a relaxed Y4Ag crystal, as listed in Alexandria via LeMat-Bulk.

The total magnetization comes out at 0.00 μB/f.u.

The space group is I4/mmm (No. 139) and the conventional cell measures 3.5687, 3.5687 and 23.0262 Å, with angles of 90.00, 90.00 and 90.00 degrees. The distinct sites, in fractional coordinates, are Y at (0.0000, 0.0000, 0.0826), Y at (0.0000, 0.0000, 0.3047) and Ag at (0.0000, 0.0000, 0.5000).


Arrangement b

First-principles (GGA-PBE) data for a relaxed Y4Ag crystal, as listed in Alexandria via LeMat-Bulk.

The total magnetization comes out at 0.00 μB/f.u.

The space group is Pm-3m (No. 221) and the conventional cell measures 5.5713, 5.5713 and 5.5713 Å, with angles of 90.00, 90.00 and 90.00 degrees. The distinct sites, in fractional coordinates, are Y at (0.0000, 0.0000, 0.0000), Y at (0.0000, 0.5000, 0.5000) and Ag at (0.5000, 0.5000, 0.5000).


Which is the most stable structure? arrangement a is the most stable.


Arrangement a

First-principles (GGA-PBE) data for a relaxed Y4Ag crystal, as listed in Alexandria via LeMat-Bulk.

The total magnetization comes out at 0.00 μB/f.u.

The space group is Fdd2 (No. 43) and the conventional cell measures 12.1336, 15.2172 and 6.3407 Å, with angles of 90.00, 90.00 and 90.00 degrees. The distinct sites, in fractional coordinates, are Y at (0.0646, 0.1045, 0.0000), Y at (0.0648, 0.1948, 0.5232) and Ag at (0.0000, 0.0000, 0.5788).


Arrangement b

First-principles (GGA-PBE) data for a relaxed Y4Ag crystal, as listed in Alexandria via LeMat-Bulk.

The total magnetization comes out at 0.00 μB/f.u.

The space group is I4/mmm (No. 139) and the conventional cell measures 4.1778, 4.1778 and 18.1755 Å, with angles of 90.00, 90.00 and 90.00 degrees. The distinct sites, in fractional coordinates, are Y at (0.0000, 0.0000, 0.0871), Y at (0.0000, 0.5000, 0.2500) and Ag at (0.0000, 0.0000, 0.5000).


Which is the most stable structure? arrangement a is the most stable.


Arrangement a

First-principles (GGA-PBE) data for a relaxed Y5Ag4 crystal, as listed in Alexandria via LeMat-Bulk.

The total magnetization comes out at 1.95 μB/f.u.

The space group is I4/mmm (No. 139) and the conventional cell measures 9.5425, 9.5425 and 4.9161 Å, with angles of 90.00, 90.00 and 90.00 degrees. The distinct sites, in fractional coordinates, are Y at (0.0000, 0.0000, 0.0000), Y at (0.1742, 0.1742, 0.5000) and Ag at (0.0000, 0.3408, 0.0000).


Arrangement b

First-principles (GGA-PBE) data for a relaxed Y5Ag4 crystal, as listed in Alexandria via LeMat-Bulk.

The total magnetization comes out at 0.00 μB/f.u.

The space group is P6_3/mcm (No. 193) and the conventional cell measures 9.0782, 9.0782 and 6.5053 Å, with angles of 90.00, 90.00 and 120.00 degrees. The distinct sites, in fractional coordinates, are Y at (0.0000, 0.2825, 0.2500), Y at (0.3333, 0.6667, 0.0000), Ag at (0.0000, 0.0000, 0.0000) and Ag at (0.0000, 0.3877, 0.7500).


Which is the most stable structure? arrangement b is the most stable.